[1]
# Nb2TlFe

A geometry-optimized Nb2TlFe structure (GGA-PBE, the Open Quantum Materials Database).

Properties
Space-group type = F-43m (216)
ρ = 10.49 g/cm³
Total DFT energy (no corrections) = -7.232 eV/atom

The structure in CIF format:
```
data_Nb2TlFe
_cell_length_a 4.6392
_cell_length_b 4.6392
_cell_length_c 4.6392
_cell_angle_alpha 60.00
_cell_angle_beta 60.00
_cell_angle_gamma 60.00
_space_group_name_H-M_alt 'P 1'
_space_group_IT_number 1
loop_
_space_group_symop_operation_xyz
'x,y,z'
loop_
_atom_site_label
_atom_site_type_symbol
_atom_site_fract_x
_atom_site_fract_y
_atom_site_fract_z
Nb1 Nb 0.0000 0.0000 0.0000
Nb2 Nb 0.2500 0.2500 0.2500
Tl1 Tl 0.5000 0.5000 0.5000
Fe1 Fe 0.7500 0.7500 0.7500
```


[2]
# NbTlFe2

A geometry-optimized NbTlFe2 structure (GGA-PBE, the Open Quantum Materials Database).

Properties
Space-group type = F-43m (216)
ρ = 10.59 g/cm³
Total DFT energy (no corrections) = -6.797 eV/atom

The structure in CIF format:
```
data_NbTlFe2
_cell_length_a 4.4924
_cell_length_b 4.4924
_cell_length_c 4.4924
_cell_angle_alpha 60.00
_cell_angle_beta 60.00
_cell_angle_gamma 60.00
_space_group_name_H-M_alt 'P 1'
_space_group_IT_number 1
loop_
_space_group_symop_operation_xyz
'x,y,z'
loop_
_atom_site_label
_atom_site_type_symbol
_atom_site_fract_x
_atom_site_fract_y
_atom_site_fract_z
Nb1 Nb 0.0000 0.0000 0.0000
Tl1 Tl 0.7500 0.7500 0.7500
Fe1 Fe 0.2500 0.2500 0.2500
Fe2 Fe 0.5000 0.5000 0.5000
```


[3]
# NbTlFeW

A geometry-optimized NbTlFeW structure (GGA-PBE, the Open Quantum Materials Database).

Properties
Space-group type = F-43m (216)
ρ = 13.01 g/cm³
Distance to the lowest polymorph of the same formula = 0.000 eV per atom
Total DFT energy (no corrections) = -7.766 eV/atom

The structure in CIF format:
```
data_NbTlFeW
_cell_length_a 4.5939
_cell_length_b 4.5939
_cell_length_c 4.5939
_cell_angle_alpha 60.00
_cell_angle_beta 60.00
_cell_angle_gamma 60.00
_space_group_name_H-M_alt 'P 1'
_space_group_IT_number 1
loop_
_space_group_symop_operation_xyz
'x,y,z'
loop_
_atom_site_label
_atom_site_type_symbol
_atom_site_fract_x
_atom_site_fract_y
_atom_site_fract_z
Nb1 Nb 0.0000 0.0000 0.0000
Tl1 Tl 0.2500 0.2500 0.2500
Fe1 Fe 0.5000 0.5000 0.5000
W1 W 0.7500 0.7500 0.7500
```


[4]
# NbTlZnFe

A geometry-optimized NbTlZnFe structure (GGA-PBE, the Open Quantum Materials Database).

Properties
Space-group type = F-43m (216)
ρ = 10.68 g/cm³
Distance to the lowest polymorph of the same formula = 0.000 eV per atom
Total DFT energy (no corrections) = -5.137 eV/atom

The structure in CIF format:
```
data_NbTlZnFe
_cell_length_a 4.5149
_cell_length_b 4.5149
_cell_length_c 4.5149
_cell_angle_alpha 60.00
_cell_angle_beta 60.00
_cell_angle_gamma 60.00
_space_group_name_H-M_alt 'P 1'
_space_group_IT_number 1
loop_
_space_group_symop_operation_xyz
'x,y,z'
loop_
_atom_site_label
_atom_site_type_symbol
_atom_site_fract_x
_atom_site_fract_y
_atom_site_fract_z
Nb1 Nb 0.0000 0.0000 0.0000
Tl1 Tl 0.5000 0.5000 0.5000
Zn1 Zn 0.2500 0.2500 0.2500
Fe1 Fe 0.7500 0.7500 0.7500
```